Record 1
Below is DyScAlCo after structural relaxation, with properties calculated at the GGA-PBE level.

a = 4.7970 Å, b = 4.7970 Å, c = 4.7970 Å
α = 60.00°, β = 60.00°, γ = 60.00°
Sites, in units of the cell vectors:
Dy 0.0000 0.0000 0.0000
Sc 0.5000 0.5000 0.5000
Al 0.7500 0.7500 0.7500
Co 0.2500 0.2500 0.2500

Properties
The space group is No. 216. The energy of formation comes out at -247 meV/atom. As for the crystal system: cubic. The volume is 19.51 Å³/atom. The total energy is -22.8 eV/f.u.



Record 2
Below is DyVAs3 after structural relaxation, with properties calculated at the GGA-PBE level.

a = 12.1304 Å, b = 5.7200 Å, c = 5.5383 Å
α = 90.00°, β = 90.00°, γ = 90.00°
Sites, in units of the cell vectors:
Dy 0.1854 0.0040 0.2500
Dy 0.1854 0.4960 0.7500
Dy 0.8146 0.5040 0.2500
Dy 0.8146 0.9960 0.7500
V 0.4121 0.7500 0.0000
V 0.4121 0.7500 0.5000
V 0.5879 0.2500 0.0000
V 0.5879 0.2500 0.5000
As 0.0012 0.7500 0.0000
As 0.0012 0.7500 0.5000
As 0.2800 0.5013 0.2500
As 0.2800 0.9987 0.7500
As 0.4259 0.1133 0.2500
As 0.4259 0.3867 0.7500
As 0.5741 0.6133 0.2500
As 0.5741 0.8867 0.7500
As 0.7200 0.0013 0.2500
As 0.7200 0.4987 0.7500
As 0.9988 0.2500 0.0000
As 0.9988 0.2500 0.5000

Properties
The space group is No. 57. The energy of formation comes out at -784 meV/atom. As for the crystal system: orthorhombic. The volume is 19.21 Å³/atom. The total energy is -31.6 eV/f.u.



Record 3
Below is Sc2TiCd2 after structural relaxation, with properties calculated at the GGA-PBE level.

a = 8.1410 Å, b = 8.1410 Å, c = 3.3523 Å
α = 90.00°, β = 90.00°, γ = 90.00°
Sites, in units of the cell vectors:
Sc 0.1495 0.3505 0.0000
Sc 0.3505 0.8505 0.0000
Sc 0.6495 0.1495 0.0000
Sc 0.8505 0.6495 0.0000
Ti 0.0000 0.0000 0.0000
Ti 0.5000 0.5000 0.0000
Cd 0.1499 0.6499 0.5000
Cd 0.3501 0.1499 0.5000
Cd 0.6499 0.8501 0.5000
Cd 0.8501 0.3501 0.5000

Properties
The space group is No. 127. The energy of formation comes out at 110 meV/atom. The value obtained for the excess energy over the best structure of this formula in the dataset is 0.079 eV per atom. As for the crystal system: tetragonal. The volume is 22.22 Å³/atom. The total energy is -21.8 eV/f.u.



Record 4
Below is Li2Sn2Pb after structural relaxation, with properties calculated at the GGA-PBE level.

a = 7.1445 Å, b = 7.1445 Å, c = 7.1445 Å
α = 143.91°, β = 143.91°, γ = 51.96°
Sites, in units of the cell vectors:
Li 0.2500 0.7500 0.5000
Li 0.7500 0.2500 0.5000
Sn 0.1089 0.1089 0.0000
Sn 0.8911 0.8911 0.0000
Pb 0.5000 0.5000 0.0000

Properties
The space group is No. 139. The energy of formation comes out at -134 meV/atom. The value obtained for the excess energy over the best structure of this formula in the dataset is 0.084 eV per atom. As for the crystal system: tetragonal. The volume is 25.17 Å³/atom. The total energy is -16.2 eV/f.u.



Record 5
Below is LaCoAs2Se after structural relaxation, with properties calculated at the GGA-PBE level.

a = 5.7133 Å, b = 5.7133 Å, c = 5.6586 Å
α = 90.00°, β = 90.00°, γ = 90.00°
Sites, in units of the cell vectors:
La 0.0000 0.0000 0.0000
Co 0.5000 0.5000 0.5000
As 0.0000 0.5000 0.0000
As 0.5000 0.0000 0.0000
Se 0.0000 0.0000 0.5000

Properties
The space group is No. 123. The value obtained for the excess energy over the best structure of this formula in the dataset is 1.538 eV per atom. As for the crystal system: tetragonal. The volume is 36.94 Å³/atom. The formation energy from raw total energies is 4.8 eV/f.u. The total energy is -20.0 eV/f.u.



Record 6
Below is Pu2SnAs after structural relaxation, with properties calculated at the GGA-PBE level.

a = 4.7562 Å, b = 4.7562 Å, c = 4.2460 Å
α = 90.00°, β = 90.00°, γ = 90.00°
Sites, in units of the cell vectors:
Pu 0.0000 0.5000 0.0000
Pu 0.5000 0.0000 0.0000
Sn 0.0000 0.0000 0.5000
As 0.5000 0.5000 0.5000

Properties
The space group is No. 123. The energy of formation comes out at -508 meV/atom. The value obtained for the excess energy over the best structure of this formula in the dataset is 0.073 eV per atom. As for the crystal system: tetragonal. The volume is 24.01 Å³/atom. The total energy is -39.3 eV/f.u.



Record 7
Below is Tl8S6Cl after structural relaxation, with properties calculated at the GGA-PBE level.

a = 7.6138 Å, b = 7.6138 Å, c = 7.6138 Å
α = 87.34°, β = 87.34°, γ = 87.34°
Sites, in units of the cell vectors:
Tl 0.1409 0.6447 0.3612
Tl 0.1955 0.1955 0.1955
Tl 0.3553 0.6388 0.8591
Tl 0.3612 0.1409 0.6447
Tl 0.6388 0.8591 0.3553
Tl 0.6447 0.3612 0.1409
Tl 0.8045 0.8045 0.8045
Tl 0.8591 0.3553 0.6388
S 0.1259 0.8555 0.6578
S 0.1445 0.3422 0.8741
S 0.3422 0.8741 0.1445
S 0.6578 0.1259 0.8555
S 0.8555 0.6578 0.1259
S 0.8741 0.1445 0.3422
Cl 0.5000 0.5000 0.5000

Properties
The space group is No. 148. As for the crystal system: trigonal. The volume is 29.33 Å³/atom. The formation energy from raw total energies is -2.8 eV/f.u. The total energy is -48.4 eV/f.u.



Record 8
Below is SiOs2Br after structural relaxation, with properties calculated at the GGA-PBE level.

a = 6.8153 Å, b = 6.8153 Å, c = 6.8153 Å
α = 133.71°, β = 133.71°, γ = 67.54°
Sites, in units of the cell vectors:
Si 0.0000 0.0000 0.0000
Si 0.7500 0.2500 0.5000
Os 0.1046 0.6250 0.9796
Os 0.3750 0.3545 0.4796
Os 0.6454 0.1250 0.0204
Os 0.8750 0.8954 0.5204
Br 0.2500 0.7500 0.5000
Br 0.5000 0.5000 0.0000

Properties
The space group is No. 122. The value obtained for the excess energy over the best structure of this formula in the dataset is 0.625 eV per atom. As for the crystal system: tetragonal. The volume is 20.33 Å³/atom. The formation energy from raw total energies is 4.4 eV/f.u. The total energy is -25.2 eV/f.u.



Record 9
Below is Fe2Re after structural relaxation, with properties calculated at the GGA-PBE level.

a = 4.6636 Å, b = 4.6636 Å, c = 4.6636 Å
α = 60.00°, β = 60.00°, γ = 60.00°
Sites, in units of the cell vectors:
Fe 0.0000 0.0000 0.0000
Fe 0.0000 0.0000 0.5000
Fe 0.0000 0.5000 0.0000
Fe 0.5000 0.0000 0.0000
Re 0.3750 0.3750 0.3750
Re 0.6250 0.6250 0.6250

Properties
The space group is No. 227. The energy of formation comes out at -9 meV/atom. As for the crystal system: cubic. The volume is 11.95 Å³/atom. The total energy is -29.4 eV/f.u.



Record 10
Below is PmV5 after structural relaxation, with properties calculated at the GGA-PBE level.

a = 7.2910 Å, b = 7.2910 Å, c = 3.1118 Å
α = 90.00°, β = 90.00°, γ = 144.37°
Sites, in units of the cell vectors:
Pm 0.0000 0.0000 0.0000
V 0.1906 0.8094 0.5000
V 0.3273 0.6727 0.0000
V 0.5000 0.5000 0.5000
V 0.6727 0.3273 0.0000
V 0.8094 0.1906 0.5000

Properties
The space group is No. 65. The energy of formation comes out at 399 meV/atom. As for the crystal system: orthorhombic. The volume is 16.06 Å³/atom. The total energy is -47.9 eV/f.u.



Record 11
Below is CaCo2P after structural relaxation, with properties calculated at the GGA-PBE level.

a = 3.9875 Å, b = 3.9875 Å, c = 3.4525 Å
α = 90.00°, β = 90.00°, γ = 90.00°
Sites, in units of the cell vectors:
Ca 0.0000 0.0000 0.0000
Co 0.0000 0.5000 0.5000
Co 0.5000 0.0000 0.5000
P 0.5000 0.5000 0.0000

Properties
The space group is No. 123. The energy of formation comes out at 136 meV/atom. As for the crystal system: tetragonal. The volume is 13.72 Å³/atom. The total energy is -21.1 eV/f.u.



Record 12
Below is PtPb6 after structural relaxation, with properties calculated at the GGA-PBE level.

a = 6.4419 Å, b = 6.4419 Å, c = 6.4419 Å
α = 108.63°, β = 108.63°, γ = 108.63°
Sites, in units of the cell vectors:
Pt 0.0000 0.0000 0.0000
Pb 0.1012 0.2773 0.4929
Pb 0.2773 0.4929 0.1012
Pb 0.4929 0.1012 0.2773
Pb 0.5071 0.8988 0.7227
Pb 0.7227 0.5071 0.8988
Pb 0.8988 0.7227 0.5071

Properties
The space group is No. 148. The energy of formation comes out at 6 meV/atom. As for the crystal system: trigonal. The volume is 30.28 Å³/atom. The total energy is -28.2 eV/f.u.